[1]
The following is a PBE calculation of a geometry-optimized Nd3Cu2GePd9 structure, from the Alexandria database.

Values from the calculation:
final energy	-5.3707	eV per atom
N(E_F)	6.57	states/eV/f.u.
theoretical density	8.33	g cm⁻³
SG	P-3m1 (164)
formation enthalpy at 0 K	-0.447	eV per atom

Unit cell a=5.6830 b=5.6830 c=11.3278 alpha=90.00 beta=90.00 gamma=120.00
With the nearest neighbours (Å) after each atom.
Positions (direct):
Pd 0.0000 0.5000 0.0000  2 Cu 2.53
Pd 0.5000 0.5000 0.0000  2 Cu 2.53
Pd 0.3393 0.1697 0.6568  1 Ge 2.44, 1 Cu 2.54
Pd 0.8303 0.1697 0.6568  1 Ge 2.44, 1 Cu 2.54
Pd 0.8303 0.6607 0.6568  1 Ge 2.44, 1 Cu 2.54
Pd 0.6607 0.8303 0.3432  1 Ge 2.44, 1 Cu 2.54
Pd 0.5000 0.0000 0.0000  2 Cu 2.53
Pd 0.1697 0.3393 0.3432  1 Ge 2.44, 1 Cu 2.54
Pd 0.1697 0.8303 0.3432  1 Ge 2.44, 1 Cu 2.54
Cu 0.3333 0.6667 0.1702  6 Pd 2.53-2.54
Cu 0.6667 0.3333 0.8298  6 Pd 2.53-2.54
Ge 0.0000 0.0000 0.5000  6 Pd 2.44
Nd 0.0000 0.0000 0.0000  6 Pd 2.84
Nd 0.6667 0.3333 0.2461  9 Pd 3.05-3.24, 3 Cu 3.39
Nd 0.3333 0.6667 0.7539  9 Pd 3.05-3.24, 3 Cu 3.39

---

[2]
The following is a PBE calculation of a geometry-optimized ThGa5NiIr2 structure, from the Alexandria database.

Values from the calculation:
final energy	-5.2270	eV per atom
N(E_F)	6.00	states/eV/f.u.
theoretical density	9.72	g cm⁻³
SG	P4/mmm (123)
formation enthalpy at 0 K	-0.110	eV per atom

Unit cell a=4.7734 b=4.7734 c=7.6723 alpha=90.00 beta=90.00 gamma=90.00
With the nearest neighbours (Å) after each atom.
Positions (direct):
Ir 0.5000 0.5000 0.7978  5 Ga 2.28-2.40
Ir 0.5000 0.5000 0.2022  5 Ga 2.28-2.40
Ga 0.5000 0.0000 0.8253  2 Ir 2.40, 1 Ga 2.68
Ga 0.0000 0.5000 0.1747  2 Ir 2.40, 1 Ga 2.68
Ga 0.5000 0.0000 0.1747  2 Ir 2.40, 1 Ga 2.68
Ga 0.0000 0.5000 0.8253  2 Ir 2.40, 1 Ga 2.68
Ga 0.5000 0.5000 0.5000  2 Ir 2.28
Th 0.0000 0.0000 0.5000  12 Ga 3.38-3.45
Ni 0.0000 0.0000 0.0000  8 Ga 2.74

---

[3]
The following is a PBE calculation of a geometry-optimized YMnMo2 structure, from the Alexandria database.

Values from the calculation:
ΔE to the lowest computed polymorph	243	meV/atom
final energy	-8.8360	eV per atom
N(E_F)	4.71	states/eV/f.u.
theoretical density	8.08	g cm⁻³
SG	P2/m (10)
formation enthalpy at 0 K	0.488	eV per atom

Unit cell a=4.5887 b=2.8907 c=5.2916 alpha=79.56 beta=90.00 gamma=90.00
With the nearest neighbours (Å) after each atom.
Positions (direct):
Mo 0.0000 0.9817 0.9857  4 Mo 2.69-2.89, 2 Mn 2.75, 2 Y 2.87
Mo 0.0000 0.5183 0.5143  4 Mo 2.69-2.89, 2 Mn 2.75, 2 Y 2.87
Y 0.5000 0.2500 0.2500  2 Mn 2.78, 4 Mo 2.87, 2 Y 2.89
Mn 0.5000 0.7500 0.7500  4 Mo 2.75, 2 Y 2.78, 2 Mn 2.89

---

[4]
The following is a PBE calculation of a geometry-optimized CsScB3 structure, from the Alexandria database.

Values from the calculation:
ΔE to the lowest computed polymorph	0	meV/atom
final energy	-3.6266	eV per atom
N(E_F)	7.09	states/eV/f.u.
theoretical density	3.01	g cm⁻³
SG	Pm-3m (221)
formation enthalpy at 0 K	1.817	eV per atom

Unit cell a=4.8791 b=4.8791 c=4.8791 alpha=90.00 beta=90.00 gamma=90.00
With the nearest neighbours (Å) after each atom.
Positions (direct):
Cs 0.5000 0.5000 0.5000  12 B 3.45
B 0.5000 0.0000 0.0000  2 Sc 2.44
B 0.0000 0.0000 0.5000  2 Sc 2.44
B 0.0000 0.5000 0.0000  2 Sc 2.44
Sc 0.0000 0.0000 0.0000  6 B 2.44

---

[5]
The following is a PBE calculation of a geometry-optimized PmSbIrPd structure, from the Alexandria database.

Values from the calculation:
final energy	-6.2642	eV per atom
N(E_F)	2.73	states/eV/f.u.
theoretical density	11.62	g cm⁻³
SG	F-43m (216)
formation energy without anion corrections	-51.4	kJ per mole of atoms

Unit cell a=4.8530 b=4.8530 c=4.8530 alpha=60.00 beta=60.00 gamma=60.00
With the nearest neighbours (Å) after each atom.
Positions (direct):
Pm 0.2500 0.2500 0.2500  4 Ir 2.97, 4 Pd 2.97
Sb 0.7500 0.7500 0.7500  4 Ir 2.97, 4 Pd 2.97
Pd 0.5000 0.5000 0.5000  4 Pm 2.97, 4 Sb 2.97
Ir 0.0000 0.0000 0.0000  4 Sb 2.97, 4 Pm 2.97

---

[6]
The following is a PBE calculation of a geometry-optimized Ba8AgP3I4 structure, from the Alexandria database.

Values from the calculation:
final energy	-3.7769	eV per atom
N(E_F)	7.85	states/eV/f.u.
theoretical density	4.48	g cm⁻³
SG	R-3m (166)
formation energy without anion corrections	-119.2	kJ per mole of atoms

Unit cell a=9.5917 b=10.0613 c=9.5929 alpha=118.48 beta=120.00 gamma=90.00
With the nearest neighbours (Å) after each atom.
Positions (direct):
I 0.0000 0.0000 0.0000  6 Ba 3.74-3.75
I 0.5000 0.0000 0.0000  6 Ba 3.63
I 0.5000 0.0000 0.5000  6 Ba 3.74-3.75
I 0.0000 0.0000 0.5000  6 Ba 3.74-3.75
Ba 0.7581 0.2941 0.0360  2 P 3.22, 1 Ag 3.36
Ba 0.7220 0.7059 0.9640  2 P 3.22, 1 Ag 3.36
Ba 0.2780 0.2941 0.0360  2 P 3.22, 1 Ag 3.36
Ba 0.7579 0.2940 0.5158  2 P 3.22, 1 Ag 3.36
Ba 0.7336 0.7007 0.4671  3 P 3.24
Ba 0.2421 0.7060 0.4842  2 P 3.22, 1 Ag 3.36
Ba 0.2419 0.7059 0.9640  2 P 3.22, 1 Ag 3.36
Ba 0.2664 0.2993 0.5329  3 P 3.24
P 0.5000 0.5000 0.5000  6 Ba 3.22-3.24
P 0.5000 0.5000 0.0000  6 Ba 3.22-3.24
P 0.0000 0.5000 0.5000  6 Ba 3.22-3.24
Ag 0.0000 0.5000 0.0000  6 Ba 3.36

---

[7]
The following is a PBE calculation of a geometry-optimized Li5Cd2 structure, from the Alexandria database.

Values from the calculation:
ΔE to the lowest computed polymorph	29	meV/atom
final energy	-1.7893	eV per atom
N(E_F)	3.23	states/eV/f.u.
theoretical density	3.25	g cm⁻³
SG	R-3m (166)
formation enthalpy at 0 K	-0.161	eV per atom

Unit cell a=4.7363 b=4.7363 c=7.3477 alpha=71.20 beta=71.20 gamma=60.00
With the nearest neighbours (Å) after each atom.
Positions (direct):
Li 0.5000 0.5000 0.5000  2 Cd 2.80, 6 Li 2.96
Li 0.7781 0.7781 0.6656  7 Li 2.87-3.13, 4 Cd 2.89-3.20
Li 0.2219 0.2219 0.3344  7 Li 2.87-3.13, 4 Cd 2.89-3.20
Li 0.9312 0.9312 0.2063  5 Li 2.81-3.13, 3 Cd 2.85
Li 0.0688 0.0688 0.7937  5 Li 2.81-3.13, 3 Cd 2.85
Cd 0.3633 0.3633 0.9101  5 Li 2.80-2.89, 3 Cd 3.00
Cd 0.6367 0.6367 0.0899  5 Li 2.80-2.89, 3 Cd 3.00

---

[8]
The following is a PBE calculation of a geometry-optimized K2CrRe structure, from the Alexandria database.

Values from the calculation:
ΔE to the lowest computed polymorph	970	meV/atom
final energy	-4.2357	eV per atom
N(E_F)	3.81	states/eV/f.u.
theoretical density	4.43	g cm⁻³
SG	P4/mmm (123)
formation enthalpy at 0 K	1.831	eV per atom

Unit cell a=4.6338 b=4.6338 c=5.5197 alpha=90.00 beta=90.00 gamma=90.00
With the nearest neighbours (Å) after each atom.
Positions (direct):
K 0.0000 0.0000 0.0016  2 K 2.74-2.78
K 0.0000 0.0000 0.4984  2 K 2.74-2.78
Cr 0.5000 0.5000 0.7500  2 Re 2.76
Re 0.5000 0.5000 0.2500  2 Cr 2.76

---

[9]
The following is a PBE calculation of a geometry-optimized SrRePIr2 structure, from the Alexandria database.

Values from the calculation:
final energy	-4.2474	eV per atom
N(E_F)	12.99	states/eV/f.u.
theoretical density	10.13	g cm⁻³
SG	P4/mmm (123)
formation enthalpy at 0 K	3.205	eV per atom

Unit cell a=4.8178 b=4.8178 c=4.8699 alpha=90.00 beta=90.00 gamma=90.00
With the nearest neighbours (Å) after each atom.
Positions (direct):
Sr 0.0000 0.0000 0.0000  4 Ir 2.41, 2 P 2.43
Ir 0.5000 0.0000 0.0000  2 Sr 2.41
Ir 0.0000 0.5000 0.0000  2 Sr 2.41
Re 0.5000 0.5000 0.5000  4 P 3.41, 8 Ir 3.43
P 0.0000 0.0000 0.5000  2 Sr 2.43

---

[10]
The following is a PBE calculation of a geometry-optimized SrLiLuHg structure, from the Alexandria database.

Values from the calculation:
final energy	-2.2455	eV per atom
N(E_F)	3.48	states/eV/f.u.
theoretical density	7.03	g cm⁻³
SG	F-43m (216)
formation enthalpy at 0 K	-0.141	eV per atom

Unit cell a=5.3955 b=5.3955 c=5.3955 alpha=60.00 beta=60.00 gamma=60.00
With the nearest neighbours (Å) after each atom.
Positions (direct):
Hg 0.7500 0.7500 0.7500  4 Lu 3.30, 4 Sr 3.30
Lu 0.5000 0.5000 0.5000  4 Li 3.30, 4 Hg 3.30
Sr 0.0000 0.0000 0.0000  4 Hg 3.30, 4 Li 3.30
Li 0.2500 0.2500 0.2500  4 Sr 3.30, 4 Lu 3.30

---

[11]
The following is a PBE calculation of a geometry-optimized Ba2SmPt9 structure, from the Alexandria database.

Values from the calculation:
final energy	-5.9209	eV per atom
N(E_F)	8.66	states/eV/f.u.
theoretical density	14.86	g cm⁻³
SG	R-3m (166)
formation enthalpy at 0 K	-0.677	eV per atom

Unit cell a=5.5271 b=5.5271 c=9.7465 alpha=73.53 beta=73.53 gamma=60.00
With the nearest neighbours (Å) after each atom.
Positions (direct):
Pt 0.4199 0.4199 0.2396  7 Pt 2.70-2.88
Pt 0.0794 0.5801 0.7604  7 Pt 2.70-2.88
Pt 0.3325 0.3325 0.0024  6 Pt 2.70-2.74
Pt 0.5000 0.5000 0.5000  6 Pt 2.88
Pt 0.6675 0.6675 0.9976  6 Pt 2.70-2.74
Pt 0.5801 0.5801 0.7604  7 Pt 2.70-2.88
Pt 0.9206 0.4199 0.2396  7 Pt 2.70-2.88
Pt 0.4199 0.9206 0.2396  7 Pt 2.70-2.88
Pt 0.5801 0.0794 0.7604  7 Pt 2.70-2.88
Ba 0.8584 0.8584 0.4247  12 Pt 3.25-3.48, 3 Ba 3.48
Ba 0.1416 0.1416 0.5753  12 Pt 3.25-3.48, 3 Ba 3.48
Sm 0.0000 0.0000 0.0000  18 Pt 3.19-3.54

---

[12]
The following is a PBE calculation of a geometry-optimized Er3ThSc2Te6 structure, from the Alexandria database.

Values from the calculation:
final energy	-5.5131	eV per atom
N(E_F)	8.58	states/eV/f.u.
theoretical density	7.81	g cm⁻³
SG	C2/m (12)
formation energy without anion corrections	-108.8	kJ per mole of atoms

Unit cell a=4.2021 b=8.8046 c=9.4930 alpha=99.27 beta=102.79 gamma=90.00
With the nearest neighbours (Å) after each atom.
Positions (direct):
Te 0.0112 0.2678 0.0224  1 Sc 2.85, 3 Er 2.96-2.99, 2 Th 3.14
Te 0.6692 0.5950 0.3384  3 Sc 2.99-3.01, 3 Er 3.11-3.15
Te 0.3308 0.4050 0.6616  3 Sc 2.99-3.01, 3 Er 3.11-3.15
Te 0.9888 0.7322 0.9776  1 Sc 2.85, 3 Er 2.96-2.99, 2 Th 3.14
Te 0.3217 0.8870 0.6434  2 Sc 2.98, 3 Er 3.10-3.15, 1 Th 3.29
Te 0.6783 0.1130 0.3566  2 Sc 2.98, 3 Er 3.10-3.15, 1 Th 3.29
Er 0.8502 0.1485 0.7005  6 Te 2.99-3.15
Er 0.5000 0.5000 0.0000  6 Te 2.96-3.11
Er 0.1498 0.8515 0.2995  6 Te 2.99-3.15
Sc 0.8330 0.6514 0.6661  6 Te 2.85-3.01
Sc 0.1670 0.3486 0.3339  6 Te 2.85-3.01
Th 0.5000 0.0000 0.0000  6 Te 3.14-3.29